## LiTl2FeBi (PBE)

Data for a geometry-optimized LiTl2FeBi structure. Values from VASP.

Properties
ΔH_f (0 K), eV/atom: 0.40
Crystal system: tetragonal
Space-group type: P4/mmm

```
&SYSTEM
  ibrav = 0, nat = 5, ntyp = 4
/
ATOMIC_SPECIES
Bi 208.98 Bi.upf
Tl 204.38 Tl.upf
Fe 55.84 Fe.upf
Li 6.94 Li.upf
CELL_PARAMETERS angstrom
5.1694 0.0000 0.0000
0.0000 5.0203 0.0000
0.0000 0.0000 5.1694
ATOMIC_POSITIONS angstrom
Bi 2.5847 2.5101 2.5847
Tl 2.5847 0.0000 0.0000
Tl 0.0000 0.0000 2.5847
Fe 0.0000 0.0000 0.0000
Li 0.0000 2.5101 0.0000
```